Below is crystalline TlAs2W at its relaxed geometry, with properties calculated at the GGA-PBE level.

Computed properties:
E = -0.19188 hartree per atom
calculated volume = 77.9 Å³ per cell

Cell and atoms, written as POSCAR:
```
TlAs2W
1.0
-4.744 2.367 1.363
-4.535 -2.816 -1.212
4.744 -1.060 2.518
Tl As W
1 2 1
Direct
0.500 0.500 0.000
0.000 0.000 0.000
0.250 0.750 0.500
0.750 0.250 0.500
```

---

Below is crystalline TlAsW2 at its relaxed geometry, with properties calculated at the GGA-PBE level.

Computed properties:
E = -0.26673 hartree per atom
calculated volume = 69.2 Å³ per cell

Cell and atoms, written as POSCAR:
```
TlAsW2
1.0
2.339 -3.872 0.875
2.879 -0.190 3.593
-1.073 -2.558 3.679
Tl As W
1 1 2
Direct
0.500 0.500 0.500
0.000 0.000 0.000
0.250 0.250 0.250
0.750 0.750 0.750
```

---

Below is crystalline TlAsW2 at its relaxed geometry, with properties calculated at the GGA-PBE level.

Computed properties:
E = -0.26552 hartree per atom
calculated volume = 72.2 Å³ per cell

Cell and atoms, written as POSCAR:
```
TlAsW2
1.0
5.412 0.005 0.014
-2.497 4.749 -0.003
0.417 0.916 2.808
Tl As W
1 1 2
Direct
0.500 0.500 0.000
0.000 0.500 0.500
0.000 0.000 0.000
0.500 0.000 0.500
```

---

Below is crystalline TlAsW2 at its relaxed geometry, with properties calculated at the GGA-PBE level.

Computed properties:
E = -0.28504 hartree per atom
calculated volume = 82.2 Å³ per cell

Cell and atoms, written as POSCAR:
```
TlAsW2
1.0
2.904 0.003 0.000
-0.988 2.731 0.000
0.000 0.000 10.368
Tl As W
1 1 2
Direct
0.500 0.500 0.781
0.000 0.000 0.438
0.000 0.000 0.042
0.500 0.500 0.239
```

---

Below is crystalline TlAs2W at its relaxed geometry, with properties calculated at the GGA-PBE level.

Computed properties:
E = -0.19329 hartree per atom
calculated volume = 76.6 Å³ per cell

Cell and atoms, written as POSCAR:
```
TlAs2W
1.0
-1.204 3.621 -2.919
-0.611 -3.113 -3.609
-3.185 -0.368 0.856
Tl As W
1 2 1
Direct
0.500 0.000 0.500
0.000 0.000 0.000
0.500 0.500 0.000
0.000 0.500 0.500
```

---

Below is crystalline TlAsW at its relaxed geometry, with properties calculated at the GGA-PBE level.

Computed properties:
E = -0.20156 hartree per atom
calculated volume = 64.6 Å³ per cell

Cell and atoms, written as POSCAR:
```
TlAsW
1.0
4.503 0.000 0.000
2.252 3.900 0.000
2.252 1.300 3.677
Tl As W
1 1 1
Direct
0.000 0.000 0.000
0.750 0.750 0.750
0.500 0.500 0.500
```

---

Below is crystalline TlAs2W at its relaxed geometry, with properties calculated at the GGA-PBE level.

Computed properties:
E = -0.20312 hartree per atom
calculated volume = 84.6 Å³ per cell

Cell and atoms, written as POSCAR:
```
TlAs2W
1.0
2.973 -0.041 0.000
-0.984 2.806 0.000
0.000 0.000 10.188
Tl As W
1 2 1
Direct
0.000 0.000 0.518
0.000 0.000 0.955
0.500 0.500 0.256
0.500 0.500 0.771
```

---

Below is crystalline TlAsW at its relaxed geometry, with properties calculated at the GGA-PBE level.

Computed properties:
E = -0.22979 hartree per atom
calculated volume = 60.9 Å³ per cell

Cell and atoms, written as POSCAR:
```
TlAsW
1.0
3.222 0.000 0.000
-1.611 2.791 0.000
0.000 0.000 6.771
Tl As W
1 1 1
Direct
0.667 0.333 0.347
0.000 0.000 0.952
0.333 0.667 0.701
```

---

Below is crystalline TlAs2W at its relaxed geometry, with properties calculated at the GGA-PBE level.

Computed properties:
E = -0.20745 hartree per atom
calculated volume = 81.3 Å³ per cell

Cell and atoms, written as POSCAR:
```
TlAs2W
1.0
9.591 -0.014 -0.008
9.076 3.101 -0.008
9.076 1.501 2.713
Tl As W
1 2 1
Direct
0.493 0.493 0.493
0.010 0.010 0.010
0.259 0.259 0.259
0.738 0.738 0.738
```

---

Below is crystalline TlAsW at its relaxed geometry, with properties calculated at the GGA-PBE level.

Computed properties:
E = -0.21560 hartree per atom
calculated volume = 57.6 Å³ per cell

Cell and atoms, written as POSCAR:
```
TlAsW
1.0
4.781 0.000 0.000
-2.391 4.141 0.000
0.000 0.000 2.910
Tl As W
1 1 1
Direct
0.333 0.667 0.334
0.000 0.000 0.833
0.667 0.333 0.833
```

---

Below is crystalline TlAs2W at its relaxed geometry, with properties calculated at the GGA-PBE level.

Computed properties:
E = -0.18915 hartree per atom
calculated volume = 79.8 Å³ per cell

Cell and atoms, written as POSCAR:
```
TlAs2W
1.0
-1.855 -1.633 -4.298
-0.316 -3.692 1.539
-3.708 0.850 1.277
Tl As W
1 2 1
Direct
0.500 0.500 0.000
0.000 0.000 0.000
0.000 0.500 0.500
0.500 0.000 0.500
```

---

Below is crystalline TlAs2W at its relaxed geometry, with properties calculated at the GGA-PBE level.

Computed properties:
E = -0.20917 hartree per atom
calculated volume = 83.4 Å³ per cell

Cell and atoms, written as POSCAR:
```
TlAs2W
1.0
3.341 0.000 0.000
0.000 3.341 0.000
0.000 0.000 7.472
Tl As W
1 2 1
Direct
0.000 0.000 0.527
0.000 0.000 0.961
0.500 0.500 0.184
0.500 0.500 0.828
```

---

Below is crystalline TlAs2W at its relaxed geometry, with properties calculated at the GGA-PBE level.

Computed properties:
E = -0.19616 hartree per atom
calculated volume = 77.6 Å³ per cell

Cell and atoms, written as POSCAR:
```
TlAs2W
1.0
6.234 -0.005 -0.011
-2.437 4.208 0.006
1.359 1.214 2.956
Tl As W
1 2 1
Direct
0.000 0.500 0.500
0.000 0.000 0.000
0.500 0.000 0.500
0.500 0.500 0.000
```

---

Below is crystalline TlAsW2 at its relaxed geometry, with properties calculated at the GGA-PBE level.

Computed properties:
E = -0.27206 hartree per atom
calculated volume = 75.6 Å³ per cell

Cell and atoms, written as POSCAR:
```
TlAsW2
1.0
5.763 -0.008 0.000
2.912 4.973 0.000
-3.774 -3.466 2.636
Tl As W
1 1 2
Direct
0.248 0.748 0.500
0.533 0.533 0.000
0.961 0.961 0.000
0.758 0.258 0.500
```

---

Below is crystalline YTlAs at its relaxed geometry, with properties calculated at the GGA-PBE level.

Computed properties:
E = -0.18664 hartree per atom
calculated volume = 195.4 Å³ per cell

Cell and atoms, written as POSCAR:
```
YTlAs
1.0
-0.720 -0.879 -5.298
5.355 -0.528 -0.640
-0.506 -6.534 1.153
Tl As Y
2 2 2
Direct
0.000 0.500 0.944
0.500 0.000 0.056
0.000 0.500 0.392
0.500 0.000 0.608
0.500 0.500 0.500
0.000 0.000 0.500
```